No. 1
CuSn5 | PBE-GGA | relaxed

Output
calculated volume	161	Å³/cell
electronic total energy	-3.8984	eV/atom
space-group type	Cmmm
D(E_F)	2.68	states/eV/cell
size of the total moment	0.00	μB per formula unit

Structure (POSCAR):
```
CuSn5
1.0
1.723 -10.541 0.000
1.723 10.541 0.000
0.000 0.000 4.424
Cu Sn
1 5
Cartesian
0.000 0.000 0.000 Cu
1.723 6.597 2.212 Sn
1.723 2.369 0.000 Sn
1.723 0.000 2.212 Sn
1.723 -2.369 0.000 Sn
1.723 -6.597 2.212 Sn
```

---

No. 2
ScRe2Ni | PBE-GGA | relaxed

Output
calculated volume	61	Å³/cell
space-group type	R3m
D(E_F)	3.96	states/eV/cell
size of the total moment	0.00	μB per formula unit
relative energy among the computed polymorphs	0.215	eV/atom

Structure (POSCAR):
```
ScRe2Ni
1.0
1.421 0.820 8.777
-1.421 0.820 8.777
0.000 -1.641 8.777
Sc Re Ni
1 2 1
Cartesian
0.000 0.000 0.000 Sc
0.000 0.000 6.357 Re
0.000 0.000 13.028 Re
0.000 0.000 19.691 Ni
```

---

No. 3
TaTiTe | PBE-GGA | relaxed

Output
calculated volume	121	Å³/cell
space-group type	Cm
formation energy (no corrections)	-32	kJ/mol of formula units
D(E_F)	3.93	states/eV/cell
size of the total moment	0.00	μB per formula unit

Structure (POSCAR):
```
TaTiTe
1.0
2.850 -1.753 0.000
2.850 1.753 0.000
-0.692 0.000 12.067
Ta Ti Te
2 2 2
Cartesian
0.000 0.000 0.000 Ta
2.381 0.000 9.995 Ta
-0.036 0.000 4.018 Ti
-0.045 0.000 7.954 Ti
1.913 0.000 2.068 Te
3.716 0.000 5.954 Te
```

---

No. 4
BeAl2Tc | PBE-GGA | relaxed

Output
calculated volume	55	Å³/cell
electronic total energy	-5.2965	eV/atom
space-group type	Cmmm
D(E_F)	1.07	states/eV/cell
size of the total moment	0.00	μB per formula unit

Structure (POSCAR):
```
BeAl2Tc
1.0
1.575 -2.194 0.000
1.575 2.194 0.000
0.000 0.000 7.984
Be Al Tc
1 2 1
Cartesian
0.000 0.000 0.000 Be
1.575 0.000 1.926 Al
1.575 0.000 6.059 Al
0.000 0.000 3.992 Tc
```

---

No. 5
Ca2La2Cl | PBE-GGA | relaxed

Output
calculated volume	388	Å³/cell
space-group type	P4/mbm
formation energy (no corrections)	-209	kJ/mol of formula units
D(E_F)	19.88	states/eV/cell
size of the total moment	0.00	μB per formula unit

Structure (POSCAR):
```
Ca2La2Cl
1.0
7.665 0.000 0.000
0.000 7.665 0.000
0.000 0.000 6.600
Ca La Cl
4 4 2
Cartesian
1.239 2.594 0.000 Ca
2.594 6.427 0.000 Ca
5.072 1.239 0.000 Ca
6.427 5.072 0.000 Ca
1.160 4.992 3.300 La
2.673 1.160 3.300 La
4.992 6.506 3.300 La
6.506 2.673 3.300 La
0.000 0.000 3.300 Cl
3.833 3.833 3.300 Cl
```

---

No. 6
Al4CuW | PBE-GGA | relaxed

Output
calculated volume	91	Å³/cell
electronic total energy	-5.0877	eV/atom
space-group type	F-43m
D(E_F)	7.45	states/eV/cell
size of the total moment	0.00	μB per formula unit

Structure (POSCAR):
```
Al4CuW
1.0
0.000 3.569 3.569
3.569 0.000 3.569
3.569 3.569 0.000
Al Cu W
4 1 1
Cartesian
0.890 0.890 0.890 Al
2.679 2.679 0.890 Al
2.679 0.890 2.679 Al
0.890 2.679 2.679 Al
5.353 5.353 5.353 Cu
3.569 3.569 3.569 W
```

---

No. 7
LaHf2B | PBE-GGA | relaxed

Output
calculated volume	228	Å³/cell
electronic total energy	-7.2349	eV/atom
space-group type	I-42d
D(E_F)	9.33	states/eV/cell
size of the total moment	0.00	μB per formula unit

Structure (POSCAR):
```
LaHf2B
1.0
-3.448 3.448 4.795
3.448 -3.448 4.795
3.448 3.448 -4.795
La Hf B
2 4 2
Cartesian
0.000 0.000 0.000 La
0.000 3.448 2.397 La
1.724 -0.362 3.596 Hf
3.086 1.724 1.199 Hf
1.724 3.809 -1.199 Hf
0.362 1.724 5.993 Hf
3.448 0.000 2.397 B
0.000 0.000 4.795 B
```

---

No. 8
La3Sm4Er5 | PBE-GGA | relaxed

Output
calculated volume	399	Å³/cell
space-group type	P-1
D(E_F)	16.91	states/eV/cell
size of the total moment	0.00	μB per formula unit
relative energy among the computed polymorphs	0.000	eV/atom

Structure (POSCAR):
```
La3Sm4Er5
1.0
6.244 0.000 0.000
0.010 7.211 0.000
0.018 0.036 8.852
La Sm Er
3 4 5
Cartesian
0.000 0.000 0.000 La
1.060 1.815 2.941 La
5.212 5.432 5.911 La
1.077 5.417 2.944 Sm
2.084 3.628 5.932 Sm
4.187 3.618 2.920 Sm
5.195 1.830 5.908 Sm
0.005 3.605 0.000 Er
2.107 0.027 5.929 Er
3.116 5.402 0.004 Er
3.156 1.845 8.848 Er
4.165 7.219 2.923 Er
```

---

No. 9
HgRu2W | PBE-GGA | relaxed

Output
calculated volume	145	Å³/cell
space-group type	I-42d
D(E_F)	1.63	states/eV/cell
size of the total moment	0.00	μB per formula unit
relative energy among the computed polymorphs	0.511	eV/atom

Structure (POSCAR):
```
HgRu2W
1.0
-3.578 3.578 2.830
3.578 -3.578 2.830
3.578 3.578 -2.830
Hg Ru W
2 4 2
Cartesian
0.000 0.000 0.000 Hg
0.000 3.578 1.415 Hg
1.789 -1.466 2.123 Ru
2.112 1.789 0.708 Ru
1.789 5.043 -0.708 Ru
1.466 1.789 3.538 Ru
3.578 0.000 1.415 W
0.000 0.000 2.830 W
```

---

No. 10
LaTb3Tl | PBE-GGA | relaxed

Output
calculated volume	644	Å³/cell
space-group type	Pnma
D(E_F)	22.20	states/eV/cell
size of the total moment	0.00	μB per formula unit
relative energy among the computed polymorphs	0.000	eV/atom

Structure (POSCAR):
```
LaTb3Tl
1.0
10.600 0.000 0.000
0.000 5.460 0.000
0.000 0.000 11.135
La Tb Tl
4 12 4
Cartesian
2.340 1.365 0.174 La
2.960 4.095 5.742 La
7.640 1.365 5.393 La
8.260 4.095 10.961 La
0.990 1.365 6.788 Tb
1.032 4.095 1.910 Tb
1.478 4.095 9.442 Tb
3.822 1.365 3.875 Tb
4.268 1.365 7.477 Tb
4.310 4.095 1.221 Tb
6.290 1.365 9.914 Tb
6.332 4.095 3.657 Tb
6.778 4.095 7.260 Tb
9.122 1.365 1.692 Tb
9.568 1.365 9.225 Tb
9.610 4.095 4.347 Tb
0.752 1.365 3.738 Tl
4.548 4.095 9.305 Tl
6.053 1.365 1.829 Tl
9.848 4.095 7.397 Tl
```

---

No. 11
CrReHg2 | PBE-GGA | relaxed

Output
calculated volume	70	Å³/cell
space-group type	I-4m2
D(E_F)	2.62	states/eV/cell
size of the total moment	1.83	μB per formula unit
relative energy among the computed polymorphs	0.411	eV/atom

Structure (POSCAR):
```
CrReHg2
1.0
-2.070 2.070 4.106
2.070 -2.070 4.106
2.070 2.070 -4.106
Cr Re Hg
1 1 2
Cartesian
0.000 0.000 0.000 Cr
0.000 2.070 2.053 Re
2.070 0.000 2.053 Hg
0.000 0.000 4.106 Hg
```

---

No. 12
CeSCl | PBE-GGA | relaxed

Output
calculated volume	78	Å³/cell
space-group type	F-43m
formation energy (no corrections)	-584	kJ/mol of formula units
D(E_F)	8.61	states/eV/cell
size of the total moment	1.00	μB per formula unit

Structure (POSCAR):
```
CeSCl
1.0
0.000 3.389 3.389
3.389 0.000 3.389
3.389 3.389 0.000
Ce S Cl
1 1 1
Cartesian
0.000 0.000 0.000 Ce
1.695 1.695 1.695 S
5.084 5.084 5.084 Cl
```